Record 1
Here is a relaxed structure of TlInSn2 from the Alexandria database. Energies are from PBE.

Cell and atoms, written as POSCAR:
```
TlInSn2
1.0
1.688 0.975 11.728
-1.688 0.975 11.728
0.000 -1.949 11.728
Tl In Sn
1 1 2
direct
0.000 0.000 0.000
0.500 0.500 0.500
0.091 0.091 0.091
0.909 0.909 0.909
```

- Energy above the most stable polymorph in this dataset: 28.1 meV per atom
- E_tot: -0.1181 Ha/atom

Record 2
Here is a relaxed structure of Tl6InSn from the Alexandria database. Energies are from PBE.

Cell and atoms, written as POSCAR:
```
Tl6InSn
1.0
7.144 4.125 2.097
-7.144 4.125 2.097
0.000 -8.249 2.097
Tl In Sn
6 1 1
direct
0.011 0.338 0.338
0.338 0.011 0.338
0.338 0.338 0.011
0.662 0.662 0.989
0.662 0.989 0.662
0.989 0.662 0.662
0.000 0.000 0.000
0.500 0.500 0.500
```

- Energy above the most stable polymorph in this dataset: 242.0 meV per atom
- E_tot: -0.0860 Ha/atom

Record 3
Here is a relaxed structure of TlIn2Sn3 from the Alexandria database. Energies are from PBE.

Cell and atoms, written as POSCAR:
```
TlIn2Sn3
1.0
8.928 -2.599 0.000
8.928 2.599 0.000
-2.101 0.000 7.557
Tl In Sn
2 4 6
direct
0.113 0.113 0.161
0.887 0.887 0.839
0.237 0.237 0.654
0.473 0.473 0.164
0.527 0.527 0.836
0.763 0.763 0.346
0.064 0.064 0.668
0.293 0.293 0.081
0.379 0.379 0.506
0.621 0.621 0.494
0.707 0.707 0.919
0.936 0.936 0.332
```

- E_tot: -0.1201 Ha/atom

no.,DOS at the Fermi energy (states/eV per atom),total magnetization (μB per formula unit)
1,0.453,0.00
2,0.506,0.00
3,0.347,0.00